This record from Alexandria describes an optimized crystal structure of Na2DyZnO4. The functional is PBE.

ΔE_f (raw) = -1.909 eV per atom

a = 5.6928 Å, b = 3.2674 Å, c = 5.9776 Å
α = 90.00°, β = 110.79°, γ = 90.00°
Closest atoms and distances in Å follow each position.
Atoms (fractional coordinates):
Na  0.0000  0.0000  0.0000  6 O 2.38-2.56
Na  0.5000  0.5000  0.0000  6 O 2.42-2.52
Dy  0.0000  0.5000  0.5000  6 O 2.24-2.33
Zn  0.5000  0.0000  0.5000  4 O 2.11
O  0.2273  0.0000  0.7339  2 Dy 2.24, 3 Na 2.38-2.42, 1 Zn 2.43
O  0.2891  0.5000  0.3055  2 Zn 2.11, 1 Dy 2.33
O  0.7109  0.5000  0.6945  2 Zn 2.11, 1 Dy 2.33
O  0.7727  0.0000  0.2661  2 Dy 2.24, 3 Na 2.38-2.42, 1 Zn 2.43

This record from Alexandria describes an optimized crystal structure of BaY2Au. The functional is PBE.

polymorph energy (0 for the lowest one) = 333.1 meV per atom
formation energy from the elements = 0.12 eV/f.u.

a = 4.6895 Å, b = 4.6895 Å, c = 11.6292 Å
α = 90.00°, β = 90.00°, γ = 90.00°
Closest atoms and distances in Å follow each position.
Atoms (fractional coordinates):
Ba  0.0000  0.0000  0.0000  4 Au 3.32
Ba  0.5000  0.5000  0.5000  4 Au 3.32
Y  0.0000  0.5000  0.2500  4 Y 3.32
Y  0.0000  0.5000  0.7500  4 Y 3.32
Y  0.5000  0.0000  0.2500  4 Y 3.32
Y  0.5000  0.0000  0.7500  4 Y 3.32
Au  0.0000  0.0000  0.5000  4 Ba 3.32
Au  0.5000  0.5000  0.0000  4 Ba 3.32

This record from Alexandria describes an optimized crystal structure of CoGeAs2H. The functional is PBE.

raw total energy = -3.5338 eV/atom

a = 4.9699 Å, b = 4.9699 Å, c = 4.4750 Å
α = 90.00°, β = 90.00°, γ = 90.00°
Closest atoms and distances in Å follow each position.
Atoms (fractional coordinates):
Co  0.0000  0.0000  0.0000  2 Ge 2.24
Ge  0.0000  0.0000  0.5000  2 Co 2.24, 4 As 2.48
As  0.0000  0.5000  0.5000  2 Ge 2.48
As  0.5000  0.0000  0.5000  2 Ge 2.48
H  0.5000  0.5000  0.0000  8 As 3.34, 4 Co 3.51

This record from Alexandria describes an optimized crystal structure of Pm7Er12Cd. The functional is PBE.

formation energy from the elements = 1.43 eV/f.u.

a = 8.4184 Å, b = 9.0416 Å, c = 9.7811 Å
α = 74.53°, β = 78.52°, γ = 63.37°
Closest atoms and distances in Å follow each position.
Atoms (fractional coordinates):
Pm  0.0000  0.0000  0.0000  8 Er 3.44-3.67
Pm  0.0915  0.3354  0.1527  7 Er 3.37-3.69, 3 Pm 3.37-3.72
Pm  0.3293  0.9232  0.2885  7 Er 3.36-3.58, 3 Pm 3.37-3.60
Pm  0.4147  0.2186  0.4143  1 Cd 3.37, 5 Er 3.44-3.65, 4 Pm 3.57-3.72
Pm  0.5853  0.7814  0.5857  1 Cd 3.37, 5 Er 3.44-3.65, 4 Pm 3.57-3.72
Pm  0.6707  0.0768  0.7115  7 Er 3.36-3.58, 3 Pm 3.37-3.60
Pm  0.9085  0.6646  0.8473  7 Er 3.37-3.69, 3 Pm 3.37-3.72
Er  0.1163  0.0320  0.6252  5 Er 3.52-3.77, 5 Pm 3.54-3.65, 1 Cd 3.79
Er  0.2196  0.2734  0.7966  1 Cd 3.41, 4 Pm 3.43-3.67, 6 Er 3.43-3.70
Er  0.2239  0.6296  0.2299  1 Cd 3.20, 5 Er 3.34-3.52, 3 Pm 3.36-3.44
Er  0.2729  0.6170  0.5641  1 Cd 3.15, 3 Er 3.26-3.48, 1 Pm 3.44
Er  0.3336  0.5628  0.8960  7 Er 3.26-3.56, 1 Pm 3.37
Er  0.4594  0.8553  0.9395  5 Pm 3.37-3.56, 5 Er 3.40-3.70
Er  0.5406  0.1447  0.0605  5 Pm 3.37-3.56, 5 Er 3.40-3.70
Er  0.6664  0.4372  0.1040  7 Er 3.26-3.56, 1 Pm 3.37
Er  0.7271  0.3830  0.4359  1 Cd 3.15, 3 Er 3.26-3.48, 1 Pm 3.44
Er  0.7761  0.3704  0.7701  1 Cd 3.20, 5 Er 3.34-3.52, 3 Pm 3.36-3.44
Er  0.7804  0.7266  0.2034  1 Cd 3.41, 4 Pm 3.43-3.67, 6 Er 3.43-3.70
Er  0.8837  0.9680  0.3748  5 Er 3.52-3.77, 5 Pm 3.54-3.65, 1 Cd 3.79
Cd  0.0000  0.5000  0.5000  6 Er 3.15-3.41, 2 Pm 3.37